1.
Material: Zn5Sb
Method: DFT, PBEsol
State: optimized geometry

Unit cell a=5.3167 b=5.3167 c=4.1316 alpha=90.00 beta=90.00 gamma=120.00
Closest atoms and distances in Å follow each position.
Space group P-62m (No. 189)
One atom of each set of equivalent atoms:
Zn1 0.0000 0.5802 0.0000 (multiplicity 3)  8 Zn 2.61-2.76
Zn2 0.3333 0.6667 0.5000 (multiplicity 2)  6 Zn 2.61
Sb1 0.0000 0.0000 0.5000 (multiplicity 1)  12 Zn 3.04-3.07

mass density: 7.368 g cm⁻³
total moment: 0.00 μB/atom
formation energy (no corrections): 0.8 eV per formula unit

2.
Material: ZnSb3
Method: DFT, PBEsol
State: optimized geometry

Unit cell a=7.2634 b=7.2634 c=7.2634 alpha=90.00 beta=90.00 gamma=90.00
Closest atoms and distances in Å follow each position.
Space group Fm-3m (No. 225)
One atom of each set of equivalent atoms:
Zn1 0.0000 0.0000 0.0000 (multiplicity 4)  8 Sb 3.15
Sb1 0.0000 0.0000 0.5000 (multiplicity 4)  8 Sb 3.15
Sb2 0.2500 0.2500 0.2500 (multiplicity 8)  4 Sb 3.15, 4 Zn 3.15

mass density: 7.465 g cm⁻³
total moment: 0.00 μB/atom
formation energy (no corrections): 1.0 eV per formula unit

3.
Material: ZrZnSb
Method: DFT, PBEsol
State: optimized geometry

Unit cell a=3.2036 b=3.2036 c=7.0917 alpha=90.00 beta=90.00 gamma=120.00
Closest atoms and distances in Å follow each position.
Space group P3m1 (No. 156)
One atom of each set of equivalent atoms:
Zr1 0.0000 0.0000 0.0000 (multiplicity 1)  3 Zn 2.91, 3 Sb 3.06, 6 Zr 3.20
Zn1 0.6667 0.3333 0.3162 (multiplicity 1)  3 Zr 2.91, 3 Sb 3.04, 6 Zn 3.20
Sb1 0.3333 0.6667 0.6565 (multiplicity 1)  3 Zn 3.04, 3 Zr 3.06, 6 Sb 3.20

mass density: 7.334 g cm⁻³
total moment: 0.00 μB/atom
formation energy (no corrections): -0.2 eV per formula unit

4.
Material: Zr5ZnSb3
Method: DFT, PBEsol
State: optimized geometry

Unit cell a=8.5427 b=8.5427 c=5.7885 alpha=90.00 beta=90.00 gamma=120.00
Closest atoms and distances in Å follow each position.
Space group P6_3/mcm (No. 193)
One atom of each set of equivalent atoms:
Zr1 0.0000 0.2686 0.2500 (multiplicity 6)  2 Zn 2.71, 3 Sb 2.92-2.96
Zr2 0.3333 0.6667 0.0000 (multiplicity 4)  2 Zr 2.89, 6 Sb 3.02
Zn1 0.0000 0.0000 0.0000 (multiplicity 2)  6 Zr 2.71, 2 Zn 2.89
Sb1 0.0000 0.3852 0.7500 (multiplicity 6)  9 Zr 2.92-3.06

mass density: 8.050 g cm⁻³
total moment: 0.00 μB/atom
formation energy (no corrections): -7.1 eV per formula unit

5.
Material: Zr2ZnSb
Method: DFT, PBEsol
State: optimized geometry

Unit cell a=3.6003 b=3.6003 c=6.1273 alpha=90.00 beta=90.00 gamma=90.00
Closest atoms and distances in Å follow each position.
Space group P4/mmm (No. 123)
One atom of each set of equivalent atoms:
Zr1 0.0000 0.0000 0.2458 (multiplicity 2)  4 Zn 2.96, 4 Sb 2.98, 2 Zr 3.01-3.11
Zn1 0.5000 0.5000 0.0000 (multiplicity 1)  8 Zr 2.96, 2 Sb 3.06
Sb1 0.5000 0.5000 0.5000 (multiplicity 1)  8 Zr 2.98, 2 Zn 3.06

mass density: 7.728 g cm⁻³
total moment: 0.00 μB/atom
formation energy (no corrections): -1.7 eV per formula unit

6.
Material: Zr2ZnSb
Method: DFT, PBEsol
State: optimized geometry

Unit cell a=6.0805 b=7.7993 c=3.3346 alpha=90.00 beta=90.28 gamma=90.00
Closest atoms and distances in Å follow each position.
Space group C2/m (No. 12)
One atom of each set of equivalent atoms:
Zr1 0.2500 0.2500 0.0000 (multiplicity 4)  4 Zn 2.98-2.99, 4 Sb 2.98-2.99, 4 Zr 3.04-3.33
Zn1 0.0000 0.0000 0.5000 (multiplicity 2)  8 Zr 2.98-2.99, 2 Sb 3.04, 2 Zn 3.33
Sb1 0.0000 0.5000 0.5000 (multiplicity 2)  8 Zr 2.98-2.99, 2 Zn 3.04, 2 Sb 3.33

mass density: 7.763 g cm⁻³
total moment: 0.00 μB/atom
formation energy (no corrections): -1.6 eV per formula unit

7.
Material: ZrZnSb
Method: DFT, PBEsol
State: optimized geometry

Unit cell a=6.3673 b=6.3673 c=6.3673 alpha=90.00 beta=90.00 gamma=90.00
Closest atoms and distances in Å follow each position.
Space group F-43m (No. 216)
One atom of each set of equivalent atoms:
Zr1 0.0000 0.0000 0.0000 (multiplicity 4)  4 Zn 2.76
Zn1 0.2500 0.2500 0.7500 (multiplicity 4)  4 Zr 2.76, 4 Sb 2.76
Sb1 0.0000 0.0000 0.5000 (multiplicity 4)  4 Zn 2.76

mass density: 7.163 g cm⁻³
total moment: 0.00 μB/atom
formation energy (no corrections): 0.3 eV per formula unit

8.
Material: Zr2ZnSb
Method: DFT, PBEsol
State: optimized geometry

Unit cell a=3.2453 b=4.0004 c=6.1463 alpha=90.00 beta=96.20 gamma=90.00
Closest atoms and distances in Å follow each position.
Space group P2/m (No. 10)
One atom of each set of equivalent atoms:
Zr1 0.0167 0.0000 0.2399 (multiplicity 2)  4 Zn 2.91-3.02, 4 Sb 2.91-3.15, 4 Zr 2.94-3.25
Zn1 0.5000 0.5000 0.0000 (multiplicity 1)  8 Zr 2.91-3.02, 2 Sb 3.07, 2 Zn 3.25
Sb1 0.5000 0.5000 0.5000 (multiplicity 1)  8 Zr 2.91-3.15, 2 Zn 3.07, 2 Sb 3.25

mass density: 7.737 g cm⁻³
total moment: 0.00 μB/atom
formation energy (no corrections): -1.6 eV per formula unit

9.
Material: Zr5Sb3
Method: DFT, PBEsol
State: optimized geometry

Unit cell a=8.4063 b=8.4063 c=5.7120 alpha=90.00 beta=90.00 gamma=120.00
Closest atoms and distances in Å follow each position.
Space group P6_3/mcm (No. 193)
One atom of each set of equivalent atoms:
Zr1 0.0000 0.2528 0.2500 (multiplicity 6)  5 Sb 2.87-3.07
Zr2 0.3333 0.6667 0.0000 (multiplicity 4)  2 Zr 2.86, 6 Sb 2.97
Sb1 0.0000 0.3878 0.7500 (multiplicity 6)  9 Zr 2.87-3.07

mass density: 7.804 g cm⁻³
offset from the most stable computed form: 1.5 meV/atom
total moment: 0.00 μB/atom
formation energy (no corrections): -5.9 eV per formula unit

10.
Material: Zr5Sb3
Method: DFT, PBEsol
State: optimized geometry

Unit cell a=10.7120 b=8.7841 c=7.5016 alpha=90.00 beta=90.00 gamma=90.00
Closest atoms and distances in Å follow each position.
Space group Pnma (No. 62)
One atom of each set of equivalent atoms:
Zr1 0.0031 0.2500 0.0256 (multiplicity 4)  5 Sb 2.90-2.97, 3 Zr 3.03-3.13
Zr2 0.0525 0.0559 0.6988 (multiplicity 8)  5 Sb 2.82-3.11, 1 Zr 3.03
Zr3 0.2124 0.7500 0.3255 (multiplicity 4)  5 Sb 2.81-3.11
Zr4 0.2319 0.2500 0.3183 (multiplicity 4)  6 Sb 2.86-3.09, 1 Zr 3.13
Sb1 0.0272 0.7500 0.5906 (multiplicity 4)  8 Zr 2.81-3.09
Sb2 0.1786 0.5072 0.0641 (multiplicity 8)  9 Zr 2.92-3.11

mass density: 7.729 g cm⁻³
offset from the most stable computed form: 0.0 meV/atom
total moment: 0.00 μB/atom
formation energy (no corrections): -5.9 eV per formula unit

11.
Material: ZrSb4
Method: DFT, PBEsol
State: optimized geometry

Unit cell a=6.6498 b=6.6498 c=6.6498 alpha=90.00 beta=90.00 gamma=90.00
Closest atoms and distances in Å follow each position.
Space group Im-3m (No. 229)
One atom of each set of equivalent atoms:
Zr1 0.0000 0.0000 0.0000 (multiplicity 2)  8 Sb 2.88
Sb1 0.2500 0.2500 0.2500 (multiplicity 8)  2 Zr 2.88

mass density: 6.531 g cm⁻³
total moment: 0.00 μB/atom
formation energy (no corrections): -0.3 eV per formula unit

12.
Material: ZrSb
Method: DFT, PBEsol
State: optimized geometry

Unit cell a=10.3601 b=3.7895 c=7.1859 alpha=90.00 beta=106.60 gamma=90.00
Closest atoms and distances in Å follow each position.
Space group Cm (No. 8)
One atom of each set of equivalent atoms:
Zr1 0.0000 0.0000 0.0000 (multiplicity 2)  7 Sb 2.87-3.04
Zr2 0.0710 0.0000 0.5819 (multiplicity 2)  7 Sb 2.93-3.05
Zr3 0.2452 0.5000 0.3239 (multiplicity 2)  6 Sb 2.89-3.09
Sb1 0.1967 0.5000 0.9080 (multiplicity 2)  6 Zr 2.89-3.02
Sb2 0.3649 0.0000 0.6703 (multiplicity 2)  7 Zr 2.93-3.09, 1 Sb 3.23
Sb3 0.4479 0.0000 0.2703 (multiplicity 2)  7 Zr 2.87-2.99

mass density: 7.849 g cm⁻³
total moment: 0.00 μB/atom
formation energy (no corrections): -1.4 eV per formula unit

13.
Material: ZrSb
Method: DFT, PBEsol
State: optimized geometry

Unit cell a=5.6112 b=5.6112 c=5.6112 alpha=90.00 beta=90.00 gamma=90.00
Closest atoms and distances in Å follow each position.
Space group P2_13 (No. 198)
One atom of each set of equivalent atoms:
Zr1 0.1436 0.1436 0.1436 (multiplicity 4)  7 Sb 2.91-3.09
Sb1 0.1563 0.3437 0.6563 (multiplicity 4)  7 Zr 2.91-3.09

mass density: 8.007 g cm⁻³
total moment: 0.00 μB/atom
formation energy (no corrections): -1.6 eV per formula unit